Computed, not measured: a geometry-optimized RbTiBr2 structure at the PBE-GGA level of DFT.

Cell and atoms, written as extended XYZ:
```
16
Lattice="7.716 0.000 0.000 0.000 7.716 0.000 0.000 0.000 7.716" Properties=species:S:1:pos:R:3 pbc="T T T"
Rb 0.000 0.000 0.000
Rb 0.000 3.858 3.858
Rb 3.858 0.000 3.858
Rb 3.858 3.858 0.000
Ti 0.000 0.000 3.858
Ti 0.000 3.858 0.000
Ti 3.858 0.000 0.000
Ti 3.858 3.858 3.858
Br 1.929 1.929 1.929
Br 1.929 1.929 5.787
Br 1.929 5.787 1.929
Br 1.929 5.787 5.787
Br 5.787 1.929 1.929
Br 5.787 1.929 5.787
Br 5.787 5.787 1.929
Br 5.787 5.787 5.787
```

Values from the calculation:
VASP energy = -3.508 eV/atom
total magnetic moment = 2.99 μB per formula unit
ΔE to the lowest computed polymorph = 97 kJ/mol of formula units
ΔE_f (raw) = -0.46 eV/atom

***

Computed, not measured: a geometry-optimized AlCr4W structure at the PBE-GGA level of DFT.

Cell and atoms, written as extended XYZ:
```
6
Lattice="0.000 3.384 3.384 3.384 0.000 3.384 3.384 3.384 0.000" Properties=species:S:1:pos:R:3 pbc="T T T"
Al 0.000 0.000 0.000
Cr 2.535 2.535 2.535
Cr 4.232 4.232 2.535
Cr 4.232 2.535 4.232
Cr 2.535 4.232 4.232
W 5.076 5.076 5.076
```

Values from the calculation:
VASP energy = -9.254 eV/atom
total magnetic moment = 0.00 μB per formula unit
formation energy = -0.06 eV/atom

***

Computed, not measured: a geometry-optimized Rb3UCu2Cl9 structure at the PBE-GGA level of DFT.

Cell and atoms, written as extended XYZ:
```
15
Lattice="7.622 0.000 0.000 -3.811 6.601 0.000 0.000 0.000 9.437" Properties=species:S:1:pos:R:3 pbc="T T T"
Rb 0.000 0.000 0.000
Rb 0.000 4.400 6.190
Rb 3.811 2.200 3.247
U 0.000 0.000 4.719
Cu 0.000 4.400 0.330
Cu 3.811 2.200 9.107
Cl -1.905 3.300 0.000
Cl 0.000 2.150 3.212
Cl -1.949 5.526 3.212
Cl 1.862 1.075 6.225
Cl 3.811 0.000 0.000
Cl 1.905 3.300 0.000
Cl 1.949 5.526 3.212
Cl 5.760 1.075 6.225
Cl 3.811 4.451 6.225
```

Values from the calculation:
VASP energy = -4.065 eV/atom
total magnetic moment = 2.01 μB per formula unit
ΔE_f (raw) = -1.46 eV/atom

***

Computed, not measured: a geometry-optimized TbCuTe2 structure at the PBE-GGA level of DFT.

Cell and atoms, written as extended XYZ:
```
4
Lattice="4.242 0.000 0.000 -2.121 3.674 0.000 0.000 0.000 6.744" Properties=species:S:1:pos:R:3 pbc="T T T"
Tb 0.000 0.000 0.000
Cu 0.000 0.000 3.372
Te 0.000 2.449 1.882
Te 2.121 1.225 4.863
```

Values from the calculation:
VASP energy = -4.568 eV/atom
total magnetic moment = 0.00 μB per formula unit
ΔE_f (raw) = -0.82 eV/atom

***

Computed, not measured: a geometry-optimized ZrCr4Sb structure at the PBE-GGA level of DFT.

Cell and atoms, written as extended XYZ:
```
6
Lattice="0.000 3.534 3.534 3.534 0.000 3.534 3.534 3.534 0.000" Properties=species:S:1:pos:R:3 pbc="T T T"
Zr 0.000 0.000 0.000
Cr 4.413 2.656 2.656
Cr 2.656 4.413 2.656
Cr 2.656 2.656 4.413
Cr 4.413 4.413 4.413
Sb 1.767 1.767 1.767
```

Values from the calculation:
VASP energy = -8.480 eV/atom
total magnetic moment = 0.00 μB per formula unit
ΔE_f (raw) = 0.05 eV/atom

***

Computed, not measured: a geometry-optimized Ce2Dy7Tm2 structure at the PBE-GGA level of DFT.

Cell and atoms, written as extended XYZ:
```
11
Lattice="5.629 -5.665 0.000 5.629 5.665 0.000 -2.375 0.000 5.499" Properties=species:S:1:pos:R:3 pbc="T T T"
Ce 2.350 0.000 0.493
Ce 6.532 0.000 5.006
Dy -1.188 0.000 2.750
Dy 2.901 2.950 1.757
Dy 5.981 2.950 3.742
Dy 3.013 0.000 3.836
Dy 5.869 0.000 1.664
Dy 2.901 -2.950 1.757
Dy 5.981 -2.950 3.742
Tm 5.629 3.237 0.000
Tm 5.629 -3.237 0.000
```

Values from the calculation:
VASP energy = -4.612 eV/atom
total magnetic moment = 2.65 μB per formula unit
formation energy = 0.21 eV/atom

***

Computed, not measured: a geometry-optimized YAs structure at the PBE-GGA level of DFT.

Cell and atoms, written as extended XYZ:
```
12
Lattice="4.833 0.000 0.000 -2.416 4.185 0.000 0.000 0.000 21.829" Properties=species:S:1:pos:R:3 pbc="T T T"
Y 0.000 0.000 4.971
Y 0.000 0.000 16.858
Y 0.000 2.790 9.582
Y 0.000 2.790 19.524
Y 2.416 1.395 2.305
Y 2.416 1.395 12.248
As 0.000 0.000 2.111
As 0.000 0.000 19.718
As 0.000 2.790 12.442
As 0.000 2.790 16.664
As 2.416 1.395 5.165
As 2.416 1.395 9.388
```

Values from the calculation:
VASP energy = -6.496 eV/atom
total magnetic moment = 0.00 μB per formula unit
formation energy = -0.94 eV/atom

***

Computed, not measured: a geometry-optimized Re2SeCl structure at the PBE-GGA level of DFT.

Cell and atoms, written as extended XYZ:
```
8
Lattice="8.231 0.000 0.000 0.000 2.981 0.000 -1.115 0.000 5.096" Properties=species:S:1:pos:R:3 pbc="T T T"
Re 1.786 0.000 1.165
Re 1.215 1.490 3.931
Re 5.901 1.490 1.165
Re 5.330 0.000 3.931
Se 0.000 1.490 0.000
Se 4.115 0.000 0.000
Cl -0.557 0.000 2.548
Cl 3.558 1.490 2.548
```

Values from the calculation:
VASP energy = -6.713 eV/atom
total magnetic moment = 0.00 μB per formula unit
ΔE to the lowest computed polymorph = 332 kJ/mol of formula units
ΔE_f (raw) = 0.84 eV/atom

***

> Which of these has the lowest VASP energy?

AlCr4W

***

> Which formula does entry 4 have?

TbCuTe2

***

Repeat the sixth record exactly.
Computed, not measured: a geometry-optimized Ce2Dy7Tm2 structure at the PBE-GGA level of DFT.

Cell and atoms, written as extended XYZ:
```
11
Lattice="5.629 -5.665 0.000 5.629 5.665 0.000 -2.375 0.000 5.499" Properties=species:S:1:pos:R:3 pbc="T T T"
Ce 2.350 0.000 0.493
Ce 6.532 0.000 5.006
Dy -1.188 0.000 2.750
Dy 2.901 2.950 1.757
Dy 5.981 2.950 3.742
Dy 3.013 0.000 3.836
Dy 5.869 0.000 1.664
Dy 2.901 -2.950 1.757
Dy 5.981 -2.950 3.742
Tm 5.629 3.237 0.000
Tm 5.629 -3.237 0.000
```

Values from the calculation:
VASP energy = -4.612 eV/atom
total magnetic moment = 2.65 μB per formula unit
formation energy = 0.21 eV/atom